[1]
Compound: LiFeF3
Source: Alexandria
Functional: GGA-PBEsol
Structure: optimized geometry

## Properties
* crystal system: monoclinic
* calculated density: 3.339 g/cm3
* VASP energy: -112.053 eV per cell
* energy relative to the lowest polymorph listed for this composition: 0.0 kJ/mol of formula units
* N(E_F): 0.18 states/eV/atom

Lattice parameters (Å, degrees): 5.6938 7.0547 7.0547 70.73 68.25 68.25
Atoms (fractional coordinates):
F (0.8509, 0.8509, 0.3348)
F (0.3421, 0.0433, 0.2043)
F (0.8421, 0.2043, 0.0433)
F (0.8059, 0.2653, 0.4586)
F (0.1491, 0.1491, 0.6652)
F (0.6491, 0.6652, 0.1491)
F (0.1579, 0.7957, 0.9567)
F (0.3509, 0.3348, 0.8509)
F (0.1941, 0.7347, 0.5414)
F (0.6941, 0.5414, 0.7347)
F (0.3059, 0.4586, 0.2653)
F (0.6579, 0.9567, 0.7957)
Fe (0.2500, 0.7615, 0.2385)
Fe (0.7500, 0.2385, 0.7615)
Fe (0.7500, 0.9341, 0.0659)
Fe (0.2500, 0.0659, 0.9341)
Li (0.6640, 0.3806, 0.2406)
Li (0.8360, 0.7594, 0.6194)
Li (0.1640, 0.2406, 0.3806)
Li (0.3360, 0.6194, 0.7594)

***

[2]
Compound: Na3SiBSbO7
Source: Alexandria
Functional: GGA-PBEsol
Structure: optimized geometry

## Properties
* crystal system: monoclinic
* calculated density: 3.476 g/cm3
* VASP energy: -169.990 eV per cell
* N(E_F): 0.20 states/eV/atom

Lattice parameters (Å, degrees): 5.2772 6.7668 9.1405 90.00 90.26 90.00
Atoms (fractional coordinates):
O (0.5978, 0.2500, 0.5639)
O (0.4022, 0.7500, 0.4361)
O (0.2980, 0.7500, 0.0829)
O (0.0391, 0.7500, 0.8620)
O (0.8021, 0.9395, 0.3168)
O (0.8021, 0.5605, 0.3168)
O (0.1979, 0.0605, 0.6832)
O (0.5190, 0.2500, 0.1598)
O (0.1979, 0.4395, 0.6832)
O (0.4810, 0.7500, 0.8402)
O (0.8423, 0.7500, 0.5812)
O (0.9609, 0.2500, 0.1380)
O (0.1577, 0.2500, 0.4188)
O (0.7020, 0.2500, 0.9171)
Si (0.7126, 0.7500, 0.4174)
Si (0.2874, 0.2500, 0.5826)
Na (0.7647, 0.7500, 0.0731)
Na (0.7444, 0.0093, 0.7511)
Na (0.7444, 0.4907, 0.7511)
Na (0.2556, 0.9907, 0.2489)
Na (0.2556, 0.5093, 0.2489)
Na (0.2353, 0.2500, 0.9269)
Sb (0.7826, 0.2500, 0.3439)
Sb (0.2174, 0.7500, 0.6561)
B (0.7261, 0.2500, 0.0627)
B (0.2739, 0.7500, 0.9373)

***

[3]
Compound: BiSI
Source: Alexandria
Functional: GGA-PBEsol
Structure: optimized geometry

## Properties
* crystal system: orthorhombic
* calculated density: 6.814 g/cm3
* VASP energy: -46.829 eV per cell
* N(E_F): 0.00 states/eV/atom

Lattice parameters (Å, degrees): 4.1196 8.4503 10.3033 90.00 90.00 90.00
Atoms (fractional coordinates):
Bi (0.2500, 0.3673, 0.3755)
Bi (0.2500, 0.8673, 0.1245)
Bi (0.7500, 0.6327, 0.6245)
Bi (0.7500, 0.1327, 0.8755)
S (0.7500, 0.8371, 0.9514)
S (0.7500, 0.3371, 0.5486)
S (0.2500, 0.6629, 0.4514)
S (0.2500, 0.1629, 0.0486)
I (0.7500, 0.5158, 0.1711)
I (0.2500, 0.4842, 0.8289)
I (0.2500, 0.9842, 0.6711)
I (0.7500, 0.0158, 0.3289)